First-principles (meta-GGA SCAN) data for LiAg2 at its PBEsol-relaxed geometry, as listed in the Alexandria database.

Computed properties:
Energy ... -65.5 eV for the cell shown
Spin magnetization ... 0.00 μB/atom
Space group ... No. 164
Density ... 7739 kg/m³
E above lowest polymorph ... 0.045 eV/atom

Cell lengths 2.8637, 2.8637, 6.7278 Å; angles 90.00, 90.00, 120.00 degrees
Closest atoms and distances in Å follow each position.
Positions (direct):
Li1 0.0000 0.0000 0.0000  6 Ag 2.74, 6 Li 2.86
Ag1 0.6667 0.3333 0.6760  3 Li 2.74, 9 Ag 2.86-2.89
Ag2 0.3333 0.6667 0.3240  3 Li 2.74, 9 Ag 2.86-2.89